1.
VASP calculation (PBE-GGA) on a relaxed structure of PmAl2Cu5.

Results
For the volume, the calculation gives 129.0 Å³/f.u. Its uncorrected energy is -4.279 eV per atom.

Cell: 3.898 6.284 6.284 Å, 64.23 71.93 71.93°
Element x y z (fractional)
Pm: 0.000 0.000 0.000
Al: 0.755 0.745 0.745
Al: 0.245 0.255 0.255
Cu: 0.000 0.500 0.500
Cu: 0.629 0.555 0.186
Cu: 0.371 0.445 0.814
Cu: 0.371 0.814 0.445
Cu: 0.629 0.186 0.555

2.
VASP calculation (PBE-GGA) on a relaxed structure of PmAlCu4.

Results
For the volume, the calculation gives 93.7 Å³/f.u. Its uncorrected energy is -4.380 eV per atom.

Cell: 5.099 5.099 5.099 Å, 60.00 60.00 60.00°
Element x y z (fractional)
Al: 0.000 0.000 0.000
Cu: 0.626 0.626 0.121
Cu: 0.626 0.121 0.626
Cu: 0.626 0.626 0.626
Cu: 0.121 0.626 0.626
Pm: 0.250 0.250 0.250

3.
VASP calculation (PBE-GGA) on a relaxed structure of Pm5AlCu4.

Results
For the volume, the calculation gives 231.6 Å³/f.u. Its uncorrected energy is -4.593 eV per atom.

Cell: 3.566 3.566 18.213 Å, 90.00 90.00 90.00°
Element x y z (fractional)
Pm: 0.500 0.500 0.107
Pm: 0.500 0.500 0.303
Pm: 0.500 0.500 0.500
Pm: 0.500 0.500 0.697
Pm: 0.500 0.500 0.893
Al: 0.000 0.000 0.000
Cu: 0.000 0.000 0.206
Cu: 0.000 0.000 0.402
Cu: 0.000 0.000 0.598
Cu: 0.000 0.000 0.794

4.
VASP calculation (PBE-GGA) on a relaxed structure of Pm3Al4Cu4.

Results
For the volume, the calculation gives 220.5 Å³/f.u. Its uncorrected energy is -4.468 eV per atom.

Cell: 6.591 6.591 6.591 Å, 109.47 109.47 109.47°
Element x y z (fractional)
Pm: 0.500 0.500 0.000
Pm: 0.500 0.000 0.500
Pm: 0.000 0.500 0.500
Al: 0.000 0.268 0.000
Al: 0.000 0.000 0.268
Al: 0.268 0.000 0.000
Al: 0.732 0.732 0.732
Cu: 0.000 0.627 0.000
Cu: 0.627 0.000 0.000
Cu: 0.000 0.000 0.627
Cu: 0.373 0.373 0.373

5.
VASP calculation (PBE-GGA) on a relaxed structure of PmAl11Cu.

Results
For the volume, the calculation gives 227.0 Å³/f.u. Its uncorrected energy is -3.973 eV per atom.

Cell: 5.266 7.215 6.832 Å, 82.93 67.33 71.37°
Element x y z (fractional)
Pm: 0.000 0.000 0.000
Al: 0.285 0.229 0.217
Al: 0.715 0.771 0.783
Al: 0.498 0.771 0.217
Al: 0.502 0.229 0.783
Al: 0.349 0.645 0.647
Al: 0.651 0.355 0.353
Al: 0.004 0.355 0.647
Al: 0.996 0.645 0.353
Al: 0.000 0.500 0.000
Al: 0.500 0.000 0.500
Al: 0.000 0.000 0.500
Cu: 0.500 0.500 0.000

6.
VASP calculation (PBE-GGA) on a relaxed structure of PmAl2Cu9.

Results
For the volume, the calculation gives 171.1 Å³/f.u. Its uncorrected energy is -4.287 eV per atom.

Cell: 6.622 7.915 7.915 Å, 79.92 65.27 65.27°
Element x y z (fractional)
Pm: 0.500 0.000 0.000
Pm: 0.250 0.500 0.500
Al: 0.875 0.250 0.750
Al: 0.875 0.750 0.250
Al: 0.875 0.250 0.250
Al: 0.375 0.750 0.750
Cu: 0.750 0.500 0.500
Cu: 0.000 0.000 0.000
Cu: 0.015 0.915 0.669
Cu: 0.599 0.085 0.331
Cu: 0.680 0.169 0.585
Cu: 0.434 0.831 0.415
Cu: 0.735 0.831 0.585
Cu: 0.151 0.169 0.415
Cu: 0.070 0.915 0.331
Cu: 0.316 0.085 0.669
Cu: 0.735 0.585 0.831
Cu: 0.151 0.415 0.169
Cu: 0.070 0.331 0.915
Cu: 0.316 0.669 0.085
Cu: 0.015 0.669 0.915
Cu: 0.599 0.331 0.085
Cu: 0.680 0.585 0.169
Cu: 0.434 0.415 0.831

7.
VASP calculation (PBE-GGA) on a relaxed structure of PmAl2Cu9.

Results
For the volume, the calculation gives 169.0 Å³/f.u. Its uncorrected energy is -4.114 eV per atom.

Cell: 2.786 8.370 8.370 Å, 120.00 90.00 90.00°
Element x y z (fractional)
Pm: 0.000 0.000 0.000
Al: 0.000 0.667 0.333
Al: 0.000 0.333 0.667
Cu: 0.500 0.813 0.187
Cu: 0.000 0.000 0.500
Cu: 0.000 0.500 0.500
Cu: 0.500 0.813 0.627
Cu: 0.500 0.187 0.813
Cu: 0.500 0.627 0.813
Cu: 0.500 0.187 0.373
Cu: 0.000 0.500 0.000
Cu: 0.500 0.373 0.187

8.
VASP calculation (PBE-GGA) on a relaxed structure of Pm3Al9Cu2.

Results
For the volume, the calculation gives 270.0 Å³/f.u. Its uncorrected energy is -4.439 eV per atom.

Cell: 4.317 8.275 8.275 Å, 75.35 74.88 74.88°
Element x y z (fractional)
Pm: 0.000 0.000 0.000
Pm: 0.685 0.315 0.315
Pm: 0.315 0.685 0.685
Al: 0.000 0.500 0.500
Al: 0.661 0.971 0.707
Al: 0.339 0.029 0.293
Al: 0.661 0.707 0.971
Al: 0.339 0.293 0.029
Al: 0.875 0.847 0.403
Al: 0.125 0.153 0.597
Al: 0.875 0.403 0.847
Al: 0.125 0.597 0.153
Cu: 0.500 0.284 0.716
Cu: 0.500 0.716 0.284

9.
VASP calculation (PBE-GGA) on a relaxed structure of PmAlCu2.

Results
For the volume, the calculation gives 71.3 Å³/f.u. Its uncorrected energy is -4.469 eV per atom.

Cell: 4.654 4.654 4.654 Å, 60.00 60.00 60.00°
Element x y z (fractional)
Al: 0.500 0.500 0.500
Cu: 0.750 0.750 0.750
Cu: 0.250 0.250 0.250
Pm: 0.000 0.000 0.000

10.
VASP calculation (PBE-GGA) on a relaxed structure of Pm4Al5Cu2.

Results
For the volume, the calculation gives 248.8 Å³/f.u. Its uncorrected energy is -4.457 eV per atom.

Cell: 3.578 7.335 9.497 Å, 93.34 90.00 90.00°
Element x y z (fractional)
Pm: 0.500 0.739 0.554
Pm: 0.500 0.166 0.876
Pm: 0.500 0.261 0.446
Pm: 0.500 0.834 0.124
Al: 0.000 0.557 0.292
Al: 0.000 0.204 0.166
Al: 0.000 0.500 0.000
Al: 0.000 0.796 0.834
Al: 0.000 0.443 0.708
Cu: 0.000 0.057 0.635
Cu: 0.000 0.943 0.365

11.
VASP calculation (PBE-GGA) on a relaxed structure of Pm2Al3Cu4.

Results
For the volume, the calculation gives 160.9 Å³/f.u. Its uncorrected energy is -4.433 eV per atom.

Cell: 5.911 6.984 8.336 Å, 90.00 110.77 90.00°
Element x y z (fractional)
Pm: 0.107 0.589 0.215
Pm: 0.893 0.411 0.785
Pm: 0.393 0.089 0.785
Pm: 0.607 0.911 0.215
Al: 0.000 0.000 0.000
Al: 0.500 0.500 0.000
Al: 0.515 0.750 0.529
Al: 0.985 0.250 0.471
Al: 0.485 0.250 0.471
Al: 0.015 0.750 0.529
Cu: 0.683 0.750 0.865
Cu: 0.817 0.250 0.135
Cu: 0.317 0.250 0.135
Cu: 0.183 0.750 0.865
Cu: 0.168 0.998 0.336
Cu: 0.832 0.002 0.664
Cu: 0.332 0.498 0.664
Cu: 0.668 0.502 0.336

12.
VASP calculation (PBE-GGA) on a relaxed structure of Pm2AlCu9.

Results
For the volume, the calculation gives 188.3 Å³/f.u. Its uncorrected energy is -4.228 eV per atom.

Cell: 5.083 5.083 8.914 Å, 73.43 73.43 60.00°
Element x y z (fractional)
Pm: 0.865 0.865 0.404
Pm: 0.135 0.135 0.596
Al: 0.000 0.000 0.000
Cu: 0.667 0.667 0.999
Cu: 0.333 0.333 0.001
Cu: 0.500 0.500 0.500
Cu: 0.420 0.420 0.239
Cu: 0.921 0.420 0.239
Cu: 0.420 0.921 0.239
Cu: 0.580 0.580 0.761
Cu: 0.580 0.079 0.761
Cu: 0.079 0.580 0.761

13.
VASP calculation (PBE-GGA) on a relaxed structure of Pm4Al3Cu2.

Results
For the volume, the calculation gives 213.9 Å³/f.u. Its uncorrected energy is -4.568 eV per atom.

Cell: 4.148 7.067 7.920 Å, 106.73 105.18 90.00°
Element x y z (fractional)
Pm: 0.235 0.697 0.470
Pm: 0.765 0.303 0.530
Pm: 0.576 0.858 0.151
Pm: 0.424 0.142 0.849
Al: 0.096 0.231 0.192
Al: 0.904 0.769 0.808
Al: 0.000 0.500 0.000
Cu: 0.400 0.550 0.800
Cu: 0.600 0.450 0.200

14.
VASP calculation (PBE-GGA) on a relaxed structure of Pm2AlCu6.

Results
For the volume, the calculation gives 152.9 Å³/f.u. Its uncorrected energy is -4.406 eV per atom.

Cell: 5.696 5.569 5.569 Å, 59.97 89.98 89.98°
Element x y z (fractional)
Pm: 0.843 0.667 0.667
Pm: 0.157 0.333 0.333
Al: 0.000 0.000 0.000
Cu: 0.341 0.358 0.821
Cu: 0.341 0.821 0.821
Cu: 0.341 0.821 0.358
Cu: 0.659 0.642 0.179
Cu: 0.659 0.179 0.179
Cu: 0.659 0.179 0.642

15.
VASP calculation (PBE-GGA) on a relaxed structure of Pm3AlCu2.

Results
For the volume, the calculation gives 141.3 Å³/f.u. Its uncorrected energy is -4.592 eV per atom.

Cell: 3.567 3.567 11.102 Å, 90.00 90.00 90.00°
Element x y z (fractional)
Pm: 0.000 0.000 0.000
Pm: 0.000 0.000 0.676
Pm: 0.000 0.000 0.324
Al: 0.500 0.500 0.500
Cu: 0.500 0.500 0.837
Cu: 0.500 0.500 0.163

16.
VASP calculation (PBE-GGA) on a relaxed structure of Pm2Al5Cu3.

Results
For the volume, the calculation gives 184.7 Å³/f.u. Its uncorrected energy is -4.499 eV per atom.

Cell: 5.965 8.447 8.447 Å, 76.19 69.32 69.32°
Element x y z (fractional)
Pm: 0.131 0.613 0.126
Pm: 0.631 0.126 0.613
Pm: 0.869 0.387 0.874
Pm: 0.369 0.874 0.387
Al: 0.390 0.254 0.966
Al: 0.890 0.966 0.254
Al: 0.610 0.746 0.034
Al: 0.110 0.034 0.746
Al: 0.496 0.754 0.754
Al: 0.504 0.246 0.246
Al: 0.750 0.500 0.500
Al: 0.250 0.500 0.500
Al: 0.004 0.246 0.246
Al: 0.996 0.754 0.754
Cu: 0.373 0.502 0.751
Cu: 0.873 0.751 0.502
Cu: 0.627 0.498 0.249
Cu: 0.127 0.249 0.498
Cu: 0.250 0.000 0.000
Cu: 0.750 0.000 0.000

17.
VASP calculation (PBE-GGA) on a relaxed structure of Pm2AlCu2.

Results
For the volume, the calculation gives 107.0 Å³/f.u. Its uncorrected energy is -4.598 eV per atom.

Cell: 4.255 5.693 5.693 Å, 59.21 68.05 68.05°
Element x y z (fractional)
Pm: 0.803 0.697 0.697
Pm: 0.197 0.303 0.303
Al: 0.000 0.000 0.000
Cu: 0.500 0.739 0.261
Cu: 0.500 0.261 0.739

18.
VASP calculation (PBE-GGA) on a relaxed structure of Pm3Al2Cu6.

Results
For the volume, the calculation gives 202.1 Å³/f.u. Its uncorrected energy is -4.497 eV per atom.

Cell: 8.067 8.067 8.067 Å, 109.47 109.47 109.47°
Element x y z (fractional)
Pm: 0.718 0.000 0.718
Pm: 0.282 0.000 0.282
Pm: 0.000 0.282 0.282
Pm: 0.000 0.718 0.718
Pm: 0.282 0.282 0.000
Pm: 0.718 0.718 0.000
Al: 0.000 0.500 0.000
Al: 0.500 0.000 0.000
Al: 0.000 0.000 0.500
Al: 0.500 0.500 0.500
Cu: 0.669 0.338 0.669
Cu: 0.669 0.000 0.331
Cu: 0.331 0.000 0.669
Cu: 0.331 0.662 0.331
Cu: 0.000 0.669 0.331
Cu: 0.662 0.331 0.331
Cu: 0.338 0.669 0.669
Cu: 0.000 0.331 0.669
Cu: 0.331 0.669 0.000
Cu: 0.669 0.669 0.338
Cu: 0.331 0.331 0.662
Cu: 0.669 0.331 0.000

19.
VASP calculation (PBE-GGA) on a relaxed structure of PmAl2Cu.

Results
For the volume, the calculation gives 81.4 Å³/f.u. Its uncorrected energy is -4.388 eV per atom.

Cell: 4.089 4.089 9.743 Å, 90.00 90.00 90.00°
Element x y z (fractional)
Pm: 0.500 0.000 0.245
Pm: 0.000 0.500 0.755
Al: 0.500 0.000 0.929
Al: 0.000 0.500 0.071
Al: 0.000 0.000 0.500
Al: 0.500 0.500 0.500
Cu: 0.500 0.000 0.660
Cu: 0.000 0.500 0.340

20.
VASP calculation (PBE-GGA) on a relaxed structure of PmAl4Cu2.

Results
For the volume, the calculation gives 121.3 Å³/f.u. Its uncorrected energy is -4.320 eV per atom.

Cell: 3.970 7.818 7.818 Å, 90.00 90.00 90.00°
Element x y z (fractional)
Pm: 0.500 0.000 0.000
Pm: 0.000 0.500 0.500
Al: 0.000 0.087 0.334
Al: 0.000 0.913 0.666
Al: 0.500 0.166 0.587
Al: 0.500 0.834 0.413
Al: 0.500 0.413 0.834
Al: 0.500 0.587 0.166
Al: 0.000 0.334 0.087
Al: 0.000 0.666 0.913
Cu: 0.000 0.209 0.791
Cu: 0.000 0.791 0.209
Cu: 0.500 0.709 0.709
Cu: 0.500 0.291 0.291

21.
VASP calculation (PBE-GGA) on a relaxed structure of PmAlCu2.

Results
For the volume, the calculation gives 73.8 Å³/f.u. Its uncorrected energy is -4.222 eV per atom.

Cell: 3.494 4.596 4.596 Å, 90.00 90.00 90.00°
Element x y z (fractional)
Al: 0.500 0.000 0.000
Cu: 0.000 0.000 0.500
Cu: 0.000 0.500 0.000
Pm: 0.500 0.500 0.500